Density functional theory data (PBE+U) for crystalline BaAc2WO8 at its relaxed geometry.

abc: 4.738 5.859 7.714
angles: 84.41 87.04 85.73
Fractional positions:
O1 0.897 0.216 0.166
O2 0.941 0.244 0.810
O3 0.103 0.784 0.834
O4 0.436 0.275 0.492
O5 0.059 0.756 0.190
O6 0.601 0.901 0.985
O7 0.399 0.099 0.015
O8 0.564 0.725 0.508
Ba1 0.000 0.000 0.500
Ac1 0.446 0.456 0.743
Ac2 0.554 0.544 0.257
W1 0.000 0.000 0.000

Calculated values
Final energy in eV per atom: -7.24
Symmetry: P-1 (2)